# 1
# Dy3Tm4Cu2Te2

Dy3Tm4Cu2Te2 after structural relaxation (PBE, the Open Quantum Materials Database).

Cell lengths 9.277, 9.277, 9.277 Å; angles 155.59, 67.57, 118.10 degrees
Sites, in units of the cell vectors:
1 Cu 0.860 0.595 0.265
2 Cu 0.330 0.595 0.735
3 Dy 0.475 0.105 0.370
4 Dy 0.021 0.521 0.500
5 Dy 0.734 0.105 0.630
6 Te 0.759 0.759 0.000
7 Te 0.356 0.856 0.500
8 Tm 0.402 0.257 0.145
9 Tm 0.087 0.901 0.185
10 Tm 0.716 0.901 0.815
11 Tm 0.113 0.257 0.855

## Properties
Its total energy is -51.75 eV/cell.

=====

# 2
# LiPdPb

LiPdPb after structural relaxation (PBE, the Open Quantum Materials Database).

Cell lengths 4.329, 4.329, 4.329 Å; angles 60.00, 60.00, 60.00 degrees
Sites, in units of the cell vectors:
1 Li 0.000 0.000 0.000
2 Pb 0.250 0.250 0.250
3 Pd 0.750 0.750 0.750

## Properties
Its total energy is -11.27 eV/cell.

=====

# 3
# CuTe2

CuTe2 after structural relaxation (PBE, the Open Quantum Materials Database).

Cell lengths 8.000, 8.000, 8.000 Å; angles 60.00, 60.00, 60.00 degrees
Sites, in units of the cell vectors:
1 Cu 0.250 0.250 0.250
2 Cu 0.500 0.500 0.500
3 Te 0.875 0.375 0.375
4 Te 0.375 0.375 0.375
5 Te 0.375 0.875 0.375
6 Te 0.375 0.375 0.875

## Properties
Its total energy is -16.12 eV/cell.

=====

# 4
# KDyHo

KDyHo after structural relaxation (PBE, the Open Quantum Materials Database).

Cell lengths 5.864, 5.864, 5.864 Å; angles 60.00, 60.00, 60.00 degrees
Site moments in Bohr magnetons follow the coordinates.
Sites, in units of the cell vectors:
1 Dy 0.000 0.000 0.000  0.17
2 Ho 0.250 0.250 0.250  0.18
3 K 0.500 0.500 0.500  0.01

## Properties
Its total energy is -6.73 eV/cell. The energy above the lowest structure with this stoichiometry is 0 meV per atom.